Entry 1:
LaMgPb3: relaxed, PBE. Values from VASP.

## Properties
VASP energy = -3.494 eV/atom
ΔE_f = 0.035 eV per atom
Fermi-level density of states = 3.1 states/eV/cell
Excess energy over the best structure of this formula in the dataset = 0.229 eV per atom
Calculated volume = 32.72 Å³ per atom

Structure (Quantum ESPRESSO input):
```
&SYSTEM
  ibrav = 0, nat = 5, ntyp = 3
/
ATOMIC_SPECIES
La 138.91 La.upf
Mg 24.30 Mg.upf
Pb 207.20 Pb.upf
ATOMIC_POSITIONS angstrom
La 0.000 0.000 0.000
Mg 2.735 2.735 2.735
Pb 0.000 2.735 2.735
Pb 2.735 0.000 2.735
Pb 2.735 2.735 0.000
CELL_PARAMETERS angstrom
5.469 0.000 0.000
0.000 5.469 0.000
0.000 0.000 5.469
```

***

Entry 2:
LaMg2Pb: relaxed, PBE. Values from VASP.

## Properties
VASP energy = -3.088 eV/atom
ΔE_f = -0.131 eV per atom
Fermi-level density of states = 1.8 states/eV/cell
Calculated volume = 28.43 Å³ per atom

Structure (Quantum ESPRESSO input):
```
&SYSTEM
  ibrav = 0, nat = 4, ntyp = 3
/
ATOMIC_SPECIES
La 138.91 La.upf
Mg 24.30 Mg.upf
Pb 207.20 Pb.upf
ATOMIC_POSITIONS angstrom
La 0.000 0.000 0.000
Mg 1.838 1.838 2.329
Mg 1.838 1.838 6.084
Pb 0.000 0.000 4.206
CELL_PARAMETERS angstrom
3.677 0.000 0.000
0.000 3.677 0.000
0.000 0.000 8.413
```